[1]
Density functional theory data (GGA-PBE) for a relaxed structure of K2BaRh.

Cell lengths 7.993, 7.993, 7.993 Å; angles 150.08, 132.22, 57.41 degrees
Fractional positions:
1 Ba 0.345 0.845 0.500
2 Rh 0.479 0.479 0.000
3 K 0.666 0.166 0.500
4 K 0.010 0.010 0.000

Summary:
Volume, Å³/atom: 46.83
Energy of formation from the pure elements, eV per formula unit: 1.057
Electronic total energy, eV for the cell shown: -10.412

[2]
Density functional theory data (GGA-PBE) for a relaxed structure of KBaRh.

Cell lengths 4.494, 4.493, 16.139 Å; angles 90.00, 90.01, 59.99 degrees
Each line ends with the local moment (μB).
Fractional positions:
1 K 0.628 0.981 0.671  0.00
2 K 0.960 0.315 0.910  0.00
3 Rh 0.963 0.310 0.291  0.34
4 Rh 0.629 0.978 0.291  0.34
5 Ba 0.296 0.644 0.165  -0.01
6 Ba 0.296 0.644 0.417  -0.01

Summary:
Volume, Å³/atom: 47.02
Energy of formation from the pure elements, eV per formula unit: -0.369
ΔE to the lowest computed polymorph, meV per atom: 0
Electronic total energy, eV for the cell shown: -21.482

[3]
Density functional theory data (GGA-PBE) for a relaxed structure of K2BaRh.

Cell lengths 5.783, 5.783, 5.783 Å; angles 119.93, 119.93, 90.12 degrees
Fractional positions:
1 Rh 0.500 0.500 0.000
2 K 0.000 0.000 0.000
3 K 0.250 0.750 0.500
4 Ba 0.750 0.250 0.500

Summary:
Volume, Å³/atom: 34.23
Energy of formation from the pure elements, eV per formula unit: 1.568
Electronic total energy, eV for the cell shown: -9.901

[4]
Density functional theory data (GGA-PBE) for a relaxed structure of K2BaRh.

Cell lengths 4.763, 4.763, 10.607 Å; angles 77.26, 77.26, 59.81 degrees
Fractional positions:
1 K 0.992 0.992 0.026
2 K 0.782 0.782 0.656
3 Rh 0.514 0.514 0.455
4 Ba 0.212 0.212 0.364

Summary:
Volume, Å³/atom: 50.28
Energy of formation from the pure elements, eV per formula unit: 0.830
Electronic total energy, eV for the cell shown: -10.640

no.,total magnetization (μB/cell)
1,0.0
2,0.7
3,0.0
4,0.0